Entry 1:
First-principles (GGA-PBE) data for an optimized crystal structure of Sr2PrTe3, as listed in the Alexandria database.

a = 8.0777 Å, b = 8.0777 Å, c = 14.6974 Å
α = 100.59°, β = 100.59°, γ = 109.34°
With the nearest neighbours (Å) after each atom.
Atoms (fractional coordinates):
Sr: 0.9992 0.4992 0.9983  6 Te 3.30-3.33
Sr: 0.4172 0.4172 0.8345  6 Te 3.31-3.34
Sr: 0.8328 0.3328 0.6655  6 Te 3.31-3.34
Sr: 0.2508 0.2508 0.5017  6 Te 3.30-3.33
Sr: 0.7492 0.7492 0.4983  6 Te 3.30-3.33
Sr: 0.6672 0.1672 0.3345  6 Te 3.31-3.34
Sr: 0.5828 0.5828 0.1655  6 Te 3.31-3.34
Sr: 0.5008 0.0008 0.0017  6 Te 3.30-3.33
Pr: 0.9170 0.9170 0.8340  6 Te 3.25
Pr: 0.3330 0.8330 0.6660  6 Te 3.25
Pr: 0.1670 0.6670 0.3340  6 Te 3.25
Pr: 0.0830 0.0830 0.1660  6 Te 3.25
Te: 0.1663 0.6725 0.8311  2 Pr 3.25, 4 Sr 3.31-3.34
Te: 0.6648 0.1585 0.8311  2 Pr 3.25, 4 Sr 3.31-3.34
Te: 0.0837 0.0775 0.6689  2 Pr 3.25, 4 Sr 3.31-3.34
Te: 0.5852 0.5915 0.6689  2 Pr 3.25, 4 Sr 3.31-3.34
Te: 0.0064 0.5064 0.5000  2 Pr 3.25, 4 Sr 3.30-3.33
Te: 0.4936 0.9936 0.5000  2 Pr 3.25, 4 Sr 3.30-3.33
Te: 0.4085 0.4148 0.3311  2 Pr 3.25, 4 Sr 3.31-3.34
Te: 0.9225 0.9163 0.3311  2 Pr 3.25, 4 Sr 3.31-3.34
Te: 0.8415 0.3352 0.1689  2 Pr 3.25, 4 Sr 3.31-3.34
Te: 0.3275 0.8337 0.1689  2 Pr 3.25, 4 Sr 3.31-3.34
Te: 0.2436 0.2436 0.0000  2 Pr 3.25, 4 Sr 3.30-3.33
Te: 0.7564 0.7564 0.0000  2 Pr 3.25, 4 Sr 3.30-3.33

Summary:
ΔE_f (raw): -9.7 eV/f.u.


Entry 2:
First-principles (GGA-PBE) data for an optimized crystal structure of Sr3PrTe4, as listed in the Alexandria database.

a = 4.6558 Å, b = 8.1174 Å, c = 8.1174 Å
α = 109.26°, β = 90.00°, γ = 90.00°
With the nearest neighbours (Å) after each atom.
Atoms (fractional coordinates):
Sr: 0.0000 0.0000 0.5000  6 Te 3.31
Sr: 0.5000 0.5000 0.5000  6 Te 3.35-3.36
Sr: 0.0000 0.5000 0.0000  6 Te 3.31
Pr: 0.5000 0.0000 0.0000  6 Te 3.26-3.27
Te: 0.0000 0.2437 0.2437  2 Pr 3.27, 4 Sr 3.31-3.35
Te: 0.5000 0.7539 0.2461  1 Pr 3.26, 5 Sr 3.31-3.36
Te: 0.0000 0.7563 0.7563  2 Pr 3.27, 4 Sr 3.31-3.35
Te: 0.5000 0.2461 0.7539  1 Pr 3.26, 5 Sr 3.31-3.36

Summary:
ΔE_f (raw): -13.1 eV/f.u.